No. 1
Compound: KTlCd
Source: the Alexandria database
Functional: GGA-PBE
Structure: relaxed

Structure (extended XYZ):
```
3
Lattice="5.4542 0.0000 0.0000 -2.7271 4.7235 0.0000 0.0000 0.0000 3.8439" Properties=species:S:1:pos:R:3 pbc="T T T"
K 2.7271 1.5745 1.2801
Cd 0.0000 0.0000 3.1994
Tl 0.0000 3.1490 3.2082
```

- ΔH_f (0 K): -0.07 eV per atom
- Density: 6.0 g cm⁻³
- ΔE to the lowest computed polymorph: 37 meV/atom

=====

No. 2
Compound: KTl4Cd
Source: the Alexandria database
Functional: GGA-PBE
Structure: relaxed

Structure (extended XYZ):
```
12
Lattice="4.9489 0.0000 0.0000 0.0000 8.8937 0.0000 0.0000 0.0000 8.8867" Properties=species:S:1:pos:R:3 pbc="T T T"
Tl 0.0000 0.0000 0.0000
K 0.0000 3.2998 2.2217
Cd 0.0000 2.1012 6.6651
K 0.0000 5.5939 6.6651
Tl 2.4744 8.4039 6.6651
Tl 2.4744 6.0990 0.4667
Tl 0.0000 0.0000 4.4434
Tl 2.4744 2.7948 4.9101
Cd 0.0000 6.7926 2.2217
Tl 2.4744 2.7948 8.4200
Tl 2.4744 6.0990 3.9767
Tl 2.4744 0.4898 2.2217
```

- ΔH_f (0 K): -0.06 eV per atom
- Density: 8.2 g cm⁻³
- ΔE to the lowest computed polymorph: 0 meV/atom

=====

No. 3
Compound: K2TlCd10
Source: the Alexandria database
Functional: GGA-PBE
Structure: relaxed

Structure (extended XYZ):
```
26
Lattice="6.4953 0.0000 0.0000 0.0000 12.6209 0.0000 0.0000 0.0000 10.0615" Properties=species:S:1:pos:R:3 pbc="T T T"
Cd 0.0000 11.7549 7.2712
Cd 1.8300 10.0981 9.2218
Cd 0.0000 4.8602 0.5398
Cd 0.0000 11.1707 4.4910
Tl 0.0000 0.0000 0.0000
K 3.2476 5.5534 2.6694
Cd 0.0000 5.4444 7.8210
Cd 4.6653 10.0981 9.2218
Cd 0.0000 8.8948 6.7579
Cd 0.0000 7.1765 2.2405
Cd 0.0000 7.7607 9.5217
Cd 0.0000 3.7261 3.3036
Cd 0.0000 0.8660 2.7903
Cd 1.8300 2.5228 0.8397
Cd 1.8300 8.8332 4.1910
Cd 1.8300 3.7877 5.8705
K 3.2476 0.7570 7.7002
K 3.2476 11.8639 2.3613
Cd 4.6653 3.7877 5.8705
Tl 0.0000 6.3105 5.0307
K 3.2476 7.0675 7.3921
Cd 0.0000 2.5844 8.3343
Cd 4.6653 2.5228 0.8397
Cd 0.0000 10.0366 1.7272
Cd 4.6653 8.8332 4.1910
Cd 0.0000 1.4502 5.5705
```

- ΔH_f (0 K): 0.02 eV per atom
- Density: 5.7 g cm⁻³

=====

no.,DOS(E_F) (states/eV/atom),calculated total energy (Ha/atom)
1,0.694,-0.0564
2,0.420,-0.0724
3,0.402,-0.0381